No. 1
Li2TlW after structural relaxation. Source: the Alexandria database, functional PBE.

It has space group F-43m (No. 216), with a = 6.601 Å, b = 6.601 Å, c = 6.601 Å, α = 90.00°, β = 90.00° and γ = 90.00°. The distinct sites, in fractional coordinates, are Li at (0.000, 0.000, 0.000), Li at (0.250, 0.250, 0.250), Tl at (0.250, 0.250, 0.750) and W at (0.000, 0.000, 0.500).

As for the volume: 18.0 Å³/atom. The calculation puts the final energy at -4.071 eV per atom.



No. 2
Li2TlW after structural relaxation. Source: the Alexandria database, functional PBE.

It has space group R-3m (No. 166, hexagonal axes), with a = 2.9355 Å, b = 2.9355 Å, c = 29.7547 Å, α = 90.00°, β = 90.00° and γ = 120.00°. The distinct sites, in fractional coordinates, are Li at (0.0000, 0.0000, 0.2465), Tl at (0.0000, 0.0000, 0.0000) and W at (0.0000, 0.0000, 0.5000).

As for the volume: 18.5 Å³/atom. The calculation puts the final energy at -4.301 eV per atom.



No. 3
LiTlW after structural relaxation. Source: the Alexandria database, functional PBE.

It has space group P3m1 (No. 156), with a = 2.9595 Å, b = 2.9595 Å, c = 7.4095 Å, α = 90.00°, β = 90.00° and γ = 120.00°. The distinct sites, in fractional coordinates, are Li at (0.0000, 0.0000, 0.0000), Tl at (0.6667, 0.3333, 0.3320) and W at (0.3333, 0.6667, 0.6812).

As for the volume: 18.7 Å³/atom. The calculation puts the final energy at -5.109 eV per atom.



No. 4
Li2TlW after structural relaxation. Source: the Alexandria database, functional PBE.

It has space group Pmm2 (No. 25), with a = 2.835 Å, b = 4.170 Å, c = 5.998 Å, α = 90.00°, β = 90.00° and γ = 90.00°. The distinct sites, in fractional coordinates, are Li at (0.000, 0.000, 0.000), Li at (0.500, 0.500, 0.241), Tl at (0.000, 0.000, 0.498) and W at (0.500, 0.500, 0.762).

As for the volume: 17.7 Å³/atom. The calculation puts the final energy at -4.184 eV per atom.



No. 5
Li4TlW after structural relaxation. Source: the Alexandria database, functional PBE.

It has space group F-43m (No. 216), with a = 7.295 Å, b = 7.295 Å, c = 7.295 Å, α = 90.00°, β = 90.00° and γ = 90.00°. The distinct sites, in fractional coordinates, are Li at (0.123, 0.123, 0.377), Tl at (0.000, 0.000, 0.000) and W at (0.250, 0.250, 0.750).

As for the volume: 16.2 Å³/atom. The calculation puts the final energy at -3.309 eV per atom.



No. 6
Li2TlW after structural relaxation. Source: the Alexandria database, functional PBE.

It has space group P2/m (No. 10), with a = 2.830 Å, b = 4.875 Å, c = 5.175 Å, α = 90.00°, β = 92.86° and γ = 90.00°. The distinct sites, in fractional coordinates, are Li at (0.185, 0.000, 0.216), Tl at (0.000, 0.500, 0.500) and W at (0.500, 0.500, 0.000).

As for the volume: 17.8 Å³/atom. The calculation puts the final energy at -4.264 eV per atom.